Entry 1:
A geometry-optimized La2Zn4Pd5 structure. Source: the Alexandria database, functional PBE-GGA.

Computed properties:
The value obtained for the final energy is -48.0 eV/cell. The space group is Fmmm (69). The density of states at the Fermi level comes out at 4.39 states/eV per cell. Its energy of formation is -0.6447 eV/atom.

Cell lengths 5.745, 5.537, 8.379 Å; angles 79.76, 69.95, 58.75 degrees
Fractional coordinates of all 11 atoms:
La1 0.868 0.000 0.264
La2 0.132 0.000 0.736
Zn1 0.474 0.310 0.741
Zn2 0.526 0.690 0.259
Zn3 0.215 0.310 0.259
Zn4 0.785 0.690 0.741
Pd1 0.500 0.000 0.000
Pd2 0.000 0.500 0.000
Pd3 0.500 0.500 0.000
Pd4 0.250 0.500 0.500
Pd5 0.750 0.500 0.500

Entry 2:
A geometry-optimized Ce5Se4 structure. Source: the Alexandria database, functional PBE-GGA.

Computed properties:
For the raw formation energy, the calculation gives -1.351 eV/atom. The value obtained for the final energy is -55.8 eV/cell. The space group is I4/m (87). The density of states at the Fermi level comes out at 28.19 states/eV per cell.

Cell lengths 8.609, 8.609, 8.609 Å; angles 92.94, 92.94, 153.82 degrees
Fractional coordinates of all 9 atoms:
Ce1 0.722 0.598 0.321
Ce2 0.402 0.722 0.124
Ce3 0.598 0.278 0.876
Ce4 0.278 0.402 0.679
Ce5 0.000 0.000 0.000
Se1 0.908 0.762 0.670
Se2 0.238 0.908 0.146
Se3 0.762 0.092 0.854
Se4 0.092 0.238 0.330

Entry 3:
A geometry-optimized KCd6In12 structure. Source: the Alexandria database, functional PBE-GGA.

Computed properties:
The value obtained for the final energy is -38.7 eV/cell. The space group is R-3m (166). The density of states at the Fermi level comes out at 10.52 states/eV per cell. Its energy of formation is 0.0375 eV/atom.

Cell lengths 8.623, 8.623, 8.623 Å; angles 106.21, 106.21, 106.21 degrees
Fractional coordinates of all 19 atoms:
K1 0.000 0.000 0.000
Cd1 0.736 0.282 0.282
Cd2 0.282 0.282 0.736
Cd3 0.282 0.736 0.282
Cd4 0.718 0.718 0.264
Cd5 0.264 0.718 0.718
Cd6 0.718 0.264 0.718
In1 0.889 0.111 0.500
In2 0.838 0.601 0.601
In3 0.601 0.601 0.838
In4 0.399 0.162 0.399
In5 0.399 0.399 0.162
In6 0.162 0.399 0.399
In7 0.111 0.500 0.889
In8 0.500 0.889 0.111
In9 0.111 0.889 0.500
In10 0.889 0.500 0.111
In11 0.500 0.111 0.889
In12 0.601 0.838 0.601

Entry 4:
A geometry-optimized MnInSi2 structure. Source: the Alexandria database, functional PBE-GGA.

Computed properties:
For the raw formation energy, the calculation gives 0.159 eV/atom. The value obtained for the final energy is -22.1 eV/cell. The space group is C2/m (12). The density of states at the Fermi level comes out at 2.15 states/eV per cell.

Cell lengths 4.259, 4.259, 5.605 Å; angles 76.93, 76.93, 44.19 degrees
Fractional coordinates of all 4 atoms:
In1 0.750 0.750 0.750
Mn1 0.250 0.250 0.250
Si1 0.981 0.981 0.090
Si2 0.519 0.519 0.410